Record 1
A geometry-optimized ZnGaRh structure, computed with PBE.

The structure in POSCAR format:
```
ZnGaRh
1.0
0.000 2.945 2.945
2.945 0.000 2.945
2.945 2.945 0.000
Zn Ga Rh
1 1 1
Direct
0.000 0.000 0.000
0.500 0.500 0.500
0.750 0.750 0.750
```

## Properties
ΔH_f (0 K): -0.32 eV/atom
M_tot: 0.000 μB per atom
Symmetry: F-43m
Calculated volume: 51 Å³/cell
VASP energy: -4.200 eV/atom


Record 2
A geometry-optimized Zn2Ga2Rh structure, computed with PBE.

The structure in POSCAR format:
```
Zn2Ga2Rh
1.0
-1.705 1.705 6.929
1.705 -1.705 6.929
1.705 1.705 -6.929
Zn Ga Rh
2 2 1
Direct
0.250 0.750 0.500
0.750 0.250 0.500
0.093 0.093 0.000
0.907 0.907 0.000
0.500 0.500 0.000
```

## Properties
ΔH_f (0 K): 0.01 eV/atom
M_tot: 0.000 μB per atom
Symmetry: I4/mmm
Calculated volume: 81 Å³/cell
VASP energy: -3.177 eV/atom
Excess energy over the best structure of this formula in the dataset: 0.34 eV/f.u.


Record 3
A geometry-optimized ZnGa3Rh structure, computed with PBE.

The structure in POSCAR format:
```
ZnGa3Rh
1.0
4.805 0.000 0.000
0.000 4.805 0.000
0.000 0.000 4.805
Zn Ga Rh
1 3 1
Direct
0.000 0.000 0.000
0.000 0.500 0.500
0.500 0.000 0.500
0.500 0.500 0.000
0.500 0.500 0.500
```

## Properties
ΔH_f (0 K): -0.11 eV/atom
M_tot: 0.000 μB per atom
Symmetry: Pm-3m
Calculated volume: 111 Å³/cell
VASP energy: -3.649 eV/atom
Excess energy over the best structure of this formula in the dataset: 0.82 eV/f.u.


Record 4
A geometry-optimized Zn3GaRh3 structure, computed with PBE.

The structure in POSCAR format:
```
Zn3GaRh3
1.0
4.185 -4.264 0.000
4.185 4.264 0.000
0.000 0.000 5.930
Zn Ga Rh
6 2 6
Direct
0.236 0.236 0.500
0.238 0.238 0.000
0.238 0.762 0.000
0.762 0.238 0.000
0.762 0.762 0.000
0.764 0.764 0.500
0.257 0.743 0.500
0.743 0.257 0.500
0.000 0.500 0.253
0.000 0.500 0.747
0.500 0.000 0.253
0.500 0.000 0.747
0.500 0.500 0.247
0.500 0.500 0.753
```

## Properties
ΔH_f (0 K): -0.46 eV/atom
M_tot: 0.000 μB per atom
Symmetry: Cmmm
Calculated volume: 212 Å³/cell
VASP energy: -4.589 eV/atom


Record 5
A geometry-optimized Zn5GaRh2 structure, computed with PBE.

The structure in POSCAR format:
```
Zn5GaRh2
1.0
5.399 0.000 0.000
0.000 10.781 0.000
0.000 0.000 3.893
Zn Ga Rh
10 2 4
Direct
0.000 0.000 0.000
0.041 0.247 0.000
0.210 0.862 0.500
0.290 0.362 0.500
0.459 0.747 0.000
0.500 0.500 0.000
0.541 0.253 0.000
0.710 0.638 0.500
0.790 0.138 0.500
0.959 0.753 0.000
0.000 0.500 0.000
0.500 0.000 0.000
0.208 0.610 0.500
0.292 0.110 0.500
0.708 0.890 0.500
0.792 0.390 0.500
```

## Properties
ΔH_f (0 K): -0.33 eV/atom
M_tot: 0.000 μB per atom
Symmetry: Pbam
Calculated volume: 227 Å³/cell
VASP energy: -3.345 eV/atom
Excess energy over the best structure of this formula in the dataset: 0.00 eV/f.u.


Record 6
A geometry-optimized ZnGa3Rh structure, computed with PBE.

The structure in POSCAR format:
```
ZnGa3Rh
1.0
6.351 0.000 0.000
0.000 6.314 0.000
-2.203 0.000 8.349
Zn Ga Rh
4 12 4
Direct
0.066 0.209 0.012
0.066 0.291 0.512
0.934 0.709 0.488
0.934 0.791 0.988
0.077 0.536 0.777
0.077 0.964 0.277
0.319 0.598 0.094
0.319 0.902 0.594
0.495 0.659 0.402
0.495 0.841 0.902
0.505 0.159 0.098
0.505 0.341 0.598
0.681 0.098 0.406
0.681 0.402 0.906
0.923 0.036 0.723
0.923 0.464 0.223
0.306 0.198 0.799
0.306 0.302 0.299
0.694 0.698 0.701
0.694 0.802 0.201
```

## Properties
ΔH_f (0 K): -0.27 eV/atom
M_tot: 0.000 μB per atom
Symmetry: P2_1/c
Calculated volume: 335 Å³/cell
VASP energy: -3.813 eV/atom
Excess energy over the best structure of this formula in the dataset: 0.00 eV/f.u.


Record 7
A geometry-optimized Zn2GaRh2 structure, computed with PBE.

The structure in POSCAR format:
```
Zn2GaRh2
1.0
-1.893 1.893 5.842
1.893 -1.893 5.842
1.893 1.893 -5.842
Zn Ga Rh
2 1 2
Direct
0.103 0.103 0.000
0.897 0.897 0.000
0.500 0.500 0.000
0.250 0.750 0.500
0.750 0.250 0.500
```

## Properties
ΔH_f (0 K): 0.13 eV/atom
M_tot: 0.000 μB per atom
Symmetry: I4/mmm
Calculated volume: 84 Å³/cell
VASP energy: -3.929 eV/atom
Excess energy over the best structure of this formula in the dataset: 2.80 eV/f.u.


Record 8
A geometry-optimized Zn2GaRh2 structure, computed with PBE.

The structure in POSCAR format:
```
Zn2GaRh2
1.0
6.367 0.000 0.000
0.000 6.367 0.000
0.000 0.000 3.800
Zn Ga Rh
4 2 4
Direct
0.151 0.349 0.000
0.349 0.849 0.000
0.651 0.151 0.000
0.849 0.651 0.000
0.000 0.000 0.500
0.500 0.500 0.500
0.149 0.649 0.500
0.351 0.149 0.500
0.649 0.851 0.500
0.851 0.351 0.500
```

## Properties
ΔH_f (0 K): -0.43 eV/atom
M_tot: 0.000 μB per atom
Symmetry: P4/mbm
Calculated volume: 154 Å³/cell
VASP energy: -4.489 eV/atom
Excess energy over the best structure of this formula in the dataset: 0.00 eV/f.u.


Record 9
A geometry-optimized Zn3GaRh structure, computed with PBE.

The structure in POSCAR format:
```
Zn3GaRh
1.0
4.796 0.000 0.000
0.000 4.796 0.000
0.000 0.000 4.796
Zn Ga Rh
3 1 1
Direct
0.000 0.000 0.500
0.000 0.500 0.000
0.500 0.000 0.000
0.500 0.500 0.500
0.000 0.000 0.000
```

## Properties
ΔH_f (0 K): 0.17 eV/atom
M_tot: 0.000 μB per atom
Symmetry: Pm-3m
Calculated volume: 110 Å³/cell
VASP energy: -2.673 eV/atom
Excess energy over the best structure of this formula in the dataset: 2.29 eV/f.u.


Record 10
A geometry-optimized Zn4GaRh5 structure, computed with PBE.

The structure in POSCAR format:
```
Zn4GaRh5
1.0
3.024 0.000 0.000
0.000 3.024 0.000
0.000 0.000 15.106
Zn Ga Rh
4 1 5
Direct
0.000 0.000 0.100
0.000 0.000 0.298
0.000 0.000 0.702
0.000 0.000 0.900
0.000 0.000 0.500
0.500 0.500 0.000
0.500 0.500 0.200
0.500 0.500 0.402
0.500 0.500 0.598
0.500 0.500 0.800
```

## Properties
ΔH_f (0 K): -0.47 eV/atom
M_tot: 0.000 μB per atom
Symmetry: P4/mmm
Calculated volume: 138 Å³/cell
VASP energy: -4.962 eV/atom


Record 11
A geometry-optimized Zn2Ga2Rh structure, computed with PBE.

The structure in POSCAR format:
```
Zn2Ga2Rh
1.0
6.616 0.000 0.000
0.000 6.616 0.000
0.000 0.000 3.618
Zn Ga Rh
4 4 2
Direct
0.164 0.336 0.000
0.336 0.836 0.000
0.664 0.164 0.000
0.836 0.664 0.000
0.141 0.641 0.500
0.359 0.141 0.500
0.641 0.859 0.500
0.859 0.359 0.500
0.000 0.000 0.500
0.500 0.500 0.500
```

## Properties
ΔH_f (0 K): -0.05 eV/atom
M_tot: 0.000 μB per atom
Symmetry: P4/mbm
Calculated volume: 158 Å³/cell
VASP energy: -3.245 eV/atom
Excess energy over the best structure of this formula in the dataset: 0.00 eV/f.u.


Record 12
A geometry-optimized ZnGa3Rh structure, computed with PBE.

The structure in POSCAR format:
```
ZnGa3Rh
1.0
4.638 0.000 0.000
0.000 4.638 0.000
0.000 0.000 4.638
Zn Ga Rh
1 3 1
Direct
0.000 0.000 0.000
0.000 0.000 0.500
0.000 0.500 0.000
0.500 0.000 0.000
0.500 0.500 0.500
```

## Properties
ΔH_f (0 K): 0.66 eV/atom
M_tot: 0.000 μB per atom
Symmetry: Pm-3m
Calculated volume: 100 Å³/cell
VASP energy: -2.881 eV/atom
Excess energy over the best structure of this formula in the dataset: 4.66 eV/f.u.


- Which value of M_tot does entry 2 give?
  0.000 μB per atom


- Which of these has the lowest VASP energy?
  Zn4GaRh5